Crystalline MnCuCSBr at its relaxed geometry, computed with PBE.

```
10
Lattice="6.0381 0.0000 -0.1238 0.0000 3.5496 0.0000 -0.8974 0.0000 9.1778" Properties=species:S:1:pos:R:3 pbc="T T T"
Br 2.5514 0.0000 2.8350
Cu 0.1047 0.0000 3.0769
S 5.0283 0.0000 5.1506
Mn 3.8722 0.0000 8.2994
C 5.0351 0.0000 6.8386
Br 2.1027 1.7748 7.4239
Cu -0.3440 1.7748 7.6658
S 5.4770 1.7748 0.5617
C 5.4838 1.7748 2.2496
Mn 4.3209 1.7748 3.7104
```

Summary:
total magnetization: 5.98 μB per cell
symmetry: Cm
formation energy without anion corrections: 0.149 eV per atom
relative energy among the computed polymorphs: 3.4 kJ per mole of atoms
E_tot: -5.509 eV per atom
volume: 196.3 Å³/cell